Here is a relaxed structure of SrCaTm2Hg4 from Alexandria. Energies are from PBE.

* D(E_F): 0.70 states/eV per atom
* energy of formation: -3.76 eV per formula unit
* total energy: -17.6 eV per cell

Cell lengths 9.282, 9.282, 9.282 Å; angles 33.31, 33.31, 33.31 degrees
Atoms (fractional coordinates):
Sr 0.000 0.000 0.000
Ca 0.500 0.500 0.500
Tm 0.248 0.248 0.248
Tm 0.752 0.752 0.752
Hg 0.127 0.127 0.127
Hg 0.378 0.378 0.378
Hg 0.622 0.622 0.622
Hg 0.873 0.873 0.873